# NaLaTe2O6 (GGA-PBE, relaxed)
# ρ = 5.4 g/cm3
# Space-group type = No. 15
# Raw formation energy = -1.82 eV per atom
data_NaLaTe2O6
_cell_length_a 7.5674
_cell_length_b 7.1791
_cell_length_c 7.1791
_cell_angle_alpha 74.28
_cell_angle_beta 63.90
_cell_angle_gamma 63.90
_space_group_name_H-M_alt 'P 1'
_space_group_IT_number 1
loop_
_space_group_symop_operation_xyz
'x,y,z'
loop_
_atom_site_label
_atom_site_type_symbol
_atom_site_fract_x
_atom_site_fract_y
_atom_site_fract_z
_atom_site_occupancy
La1 La 0.7500 0.1851 0.8149 1
La2 La 0.2500 0.8149 0.1851 1
Na1 Na 0.2500 0.2145 0.7855 1
Na2 Na 0.7500 0.7855 0.2145 1
O1 O 0.5703 0.2397 0.5780 1
O2 O 0.6599 0.8268 0.9284 1
O3 O 0.1599 0.9284 0.8268 1
O4 O 0.4753 0.4268 0.2047 1
O5 O 0.4297 0.7603 0.4220 1
O6 O 0.3401 0.1732 0.0716 1
O7 O 0.9753 0.2047 0.4268 1
O8 O 0.9297 0.4220 0.7603 1
O9 O 0.5247 0.5732 0.7953 1
O10 O 0.8401 0.0716 0.1732 1
O11 O 0.0247 0.7953 0.5732 1
O12 O 0.0703 0.5780 0.2397 1
Te1 Te 0.2197 0.2962 0.3243 1
Te2 Te 0.7803 0.7038 0.6757 1
Te3 Te 0.2803 0.6757 0.7038 1
Te4 Te 0.7197 0.3243 0.2962 1